(1)
Below is a relaxed Np2AsS crystal, with properties calculated at the PBE level.

Lattice parameters (Å, degrees): 4.0394 4.0385 6.9059 107.00 90.00 120.01
Closest atoms and distances in Å follow each position.
Positions (direct):
S 0.5000 0.0000 0.0000  6 Np 2.80
Np 0.2462 0.4923 0.2386  3 S 2.80, 3 As 2.88-2.89
Np 0.7538 0.5077 0.7614  3 S 2.80, 3 As 2.88-2.89
As 0.0000 0.0000 0.5000  6 Np 2.88-2.89

Properties
**DOS(E_F)**: 14.95 states/eV/f.u.
**ΔE to the lowest computed polymorph**: 0 meV/atom

(2)
Below is a relaxed YCrPCl2 crystal, with properties calculated at the PBE level.

Lattice parameters (Å, degrees): 4.5805 4.5805 5.1382 90.00 90.00 90.00
Closest atoms and distances in Å follow each position.
Positions (direct):
Y 0.5000 0.5000 0.5000  4 P 3.24, 8 Cl 3.44
Cl 0.5000 0.0000 0.0000  2 Cr 2.29
Cl 0.0000 0.5000 0.0000  2 Cr 2.29
Cr 0.0000 0.0000 0.0000  4 Cl 2.29
P 0.0000 0.0000 0.5000  2 Cr 2.57

Properties
**DOS(E_F)**: 1.94 states/eV/f.u.
**ΔE to the lowest computed polymorph**: 0 meV/atom

(3)
Below is a relaxed AgPt4Se crystal, with properties calculated at the PBE level.

Lattice parameters (Å, degrees): 5.3276 5.3276 5.3276 60.00 60.00 60.00
Closest atoms and distances in Å follow each position.
Positions (direct):
Pt 0.3753 0.8742 0.3753  6 Pt 2.66-2.67
Pt 0.3753 0.3753 0.3753  6 Pt 2.66-2.67
Pt 0.8742 0.3753 0.3753  6 Pt 2.66-2.67
Pt 0.3753 0.3753 0.8742  6 Pt 2.66-2.67
Se 0.7500 0.7500 0.7500  12 Pt 3.12, 4 Ag 3.26
Ag 0.0000 0.0000 0.0000  12 Pt 3.12, 4 Se 3.26

Properties
**DOS(E_F)**: 6.05 states/eV/f.u.

(4)
Below is a relaxed Si2AgBS6 crystal, with properties calculated at the PBE level.

Lattice parameters (Å, degrees): 6.0444 9.0523 9.0523 90.54 67.53 67.53
Closest atoms and distances in Å follow each position.
Positions (direct):
S 0.1089 0.0526 0.7996  1 B 1.94, 1 Si 2.11
S 0.0670 0.5882 0.1653  1 B 1.94, 1 Si 2.18
S 0.8198 0.7586 0.6360  2 Si 2.18-2.19
S 0.5670 0.1653 0.5882  1 B 1.94, 1 Si 2.18
S 0.6089 0.7996 0.0526  1 B 1.94, 1 Si 2.11
S 0.6802 0.3640 0.2414  2 Si 2.18-2.19
S 0.4330 0.8347 0.4118  1 B 1.94, 1 Si 2.18
S 0.9330 0.4118 0.8347  1 B 1.94, 1 Si 2.18
S 0.3198 0.6360 0.7586  2 Si 2.18-2.19
S 0.3911 0.2004 0.9474  1 B 1.94, 1 Si 2.11
S 0.1802 0.2414 0.3640  2 Si 2.18-2.19
S 0.8911 0.9474 0.2004  1 B 1.94, 1 Si 2.11
Ag 0.2500 0.6455 0.3545  4 S 2.51-2.67
Ag 0.7500 0.3545 0.6455  4 S 2.51-2.67
B 0.7500 0.7854 0.2146  4 S 1.94
B 0.2500 0.2146 0.7854  4 S 1.94
Si 0.0799 0.3448 0.1690  4 S 2.11-2.19
Si 0.5799 0.1690 0.3448  4 S 2.11-2.19
Si 0.4201 0.8310 0.6552  4 S 2.11-2.19
Si 0.9201 0.6552 0.8310  4 S 2.11-2.19

Properties
**DOS(E_F)**: 0.00 states/eV/f.u.

(5)
Below is a relaxed HoTm2Se4 crystal, with properties calculated at the PBE level.

Lattice parameters (Å, degrees): 3.9282 6.9162 13.6624 90.00 90.00 106.50
Closest atoms and distances in Å follow each position.
Positions (direct):
Ho 0.6275 0.2550 0.7500  6 Se 2.87-2.93
Ho 0.3725 0.7450 0.2500  6 Se 2.87-2.93
Se 0.5000 0.0000 0.0000  4 Tm 2.78
Se 0.2235 0.4471 0.8786  3 Tm 2.85-2.89, 2 Ho 2.93
Se 0.7765 0.5529 0.1214  3 Tm 2.85-2.89, 2 Ho 2.93
Se 0.0304 0.0608 0.2500  2 Tm 2.80, 2 Ho 2.87
Se 0.5000 0.0000 0.5000  4 Tm 2.78
Se 0.2235 0.4471 0.6214  3 Tm 2.85-2.89, 2 Ho 2.93
Se 0.7765 0.5529 0.3786  3 Tm 2.85-2.89, 2 Ho 2.93
Se 0.9696 0.9392 0.7500  2 Tm 2.80, 2 Ho 2.87
Tm 0.8699 0.7398 0.9304  6 Se 2.78-2.89
Tm 0.8699 0.7398 0.5696  6 Se 2.78-2.89
Tm 0.1301 0.2602 0.4304  6 Se 2.78-2.89
Tm 0.1301 0.2602 0.0696  6 Se 2.78-2.89

Properties
**DOS(E_F)**: 2.42 states/eV/f.u.
**ΔE to the lowest computed polymorph**: 54 meV/atom

(6)
Below is a relaxed La3Y2 crystal, with properties calculated at the PBE level.

Lattice parameters (Å, degrees): 6.9357 6.9357 9.7872 69.25 69.25 60.00
Closest atoms and distances in Å follow each position.
Positions (direct):
La 0.7220 0.2500 0.2500  4 La 3.48, 4 Y 3.50-3.65
La 0.7780 0.7220 0.2500  4 La 3.48, 4 Y 3.50-3.65
La 0.2220 0.2780 0.7500  4 La 3.48, 4 Y 3.50-3.65
La 0.2780 0.7500 0.7500  4 La 3.48, 4 Y 3.50-3.65
La 0.7500 0.2220 0.7500  4 La 3.48, 4 Y 3.50-3.65
La 0.2500 0.7780 0.2500  4 La 3.48, 4 Y 3.50-3.65
Y 0.3099 0.3099 0.0702  1 Y 3.21, 3 La 3.50
Y 0.8099 0.8099 0.5702  1 Y 3.21, 3 La 3.50
Y 0.6901 0.6901 0.9298  1 Y 3.21, 3 La 3.50
Y 0.1901 0.1901 0.4298  1 Y 3.21, 3 La 3.50

Properties
**DOS(E_F)**: 8.76 states/eV/f.u.
**ΔE to the lowest computed polymorph**: 239 meV/atom
**ΔE_f**: 0.2496 eV per atom

(7)
Below is a relaxed MgGaAs2Br crystal, with properties calculated at the PBE level.

Lattice parameters (Å, degrees): 4.9020 4.9020 5.4192 90.00 90.00 90.00
Closest atoms and distances in Å follow each position.
Positions (direct):
Mg 0.5000 0.5000 0.5000  4 Br 3.47, 8 As 3.65
Ga 0.0000 0.0000 0.0000  4 As 2.45, 2 Br 2.71
Br 0.0000 0.0000 0.5000  2 Ga 2.71
As 0.5000 0.0000 0.0000  2 Ga 2.45
As 0.0000 0.5000 0.0000  2 Ga 2.45

Properties
**DOS(E_F)**: 4.32 states/eV/f.u.
**ΔE to the lowest computed polymorph**: 25 meV/atom

(8)
Below is a relaxed SmTc3Ge3 crystal, with properties calculated at the PBE level.

Lattice parameters (Å, degrees): 6.7742 6.7742 6.7742 90.00 90.00 90.00
Closest atoms and distances in Å follow each position.
Positions (direct):
Ge 0.5000 0.0000 0.2500  4 Tc 2.40
Ge 0.0000 0.7500 0.5000  4 Tc 2.40
Ge 0.7500 0.5000 0.0000  4 Tc 2.40
Ge 0.2500 0.5000 0.0000  4 Tc 2.40
Ge 0.0000 0.2500 0.5000  4 Tc 2.40
Ge 0.5000 0.0000 0.7500  4 Tc 2.40
Sm 0.5000 0.5000 0.5000  12 Ge 3.79, 12 Tc 3.79
Sm 0.0000 0.0000 0.0000  12 Ge 3.79, 12 Tc 3.79
Tc 0.0000 0.5000 0.7500  4 Ge 2.40
Tc 0.5000 0.7500 0.0000  4 Ge 2.40
Tc 0.0000 0.5000 0.2500  4 Ge 2.40
Tc 0.5000 0.2500 0.0000  4 Ge 2.40
Tc 0.2500 0.0000 0.5000  4 Ge 2.40
Tc 0.7500 0.0000 0.5000  4 Ge 2.40

Properties
**DOS(E_F)**: 6.65 states/eV/f.u.
**ΔE to the lowest computed polymorph**: 474 meV/atom
**ΔE_f**: 0.3761 eV per atom

The records above yield electronic total energy values of -9.6883; -5.6928; -4.7922; -4.9233; -5.7255; -5.2925; -2.8256; -6.7195 eV/atom, respectively.